(1)
First-principles (GGA+U) data for crystalline NiCNF2 at its relaxed geometry, as listed in Alexandria via LeMat-Bulk.

Cell: 3.8128 3.8128 3.9106 Å, 90.00 90.00 90.00°
Positions (direct):
Ni  0.0000  0.0000  0.0000
C  0.5000  0.5000  0.5000
N  0.0000  0.0000  0.5000
F  0.0000  0.5000  0.0000
F  0.5000  0.0000  0.0000

Output
The density of states at the Fermi level is 0.549 states/eV per atom. As for the crystal system: tetragonal. For the energy above the most stable polymorph in this dataset, the calculation gives 1.221 eV per atom. The final energy comes out at -3.65 eV/atom. The calculation puts the calculated density at 3.58 g/cm³.

***

(2)
First-principles (GGA+U) data for crystalline NiCNF2 at its relaxed geometry, as listed in Alexandria via LeMat-Bulk.

Cell: 4.4474 4.4474 2.4693 Å, 90.00 90.00 90.00°
Positions (direct):
Ni  0.0000  0.0000  0.0000
C  0.5000  0.5000  0.5000
N  0.5000  0.5000  0.0000
F  0.0000  0.5000  0.5000
F  0.5000  0.0000  0.5000

Output
The density of states at the Fermi level is 0.398 states/eV per atom. As for the crystal system: tetragonal. For the energy above the most stable polymorph in this dataset, the calculation gives 0.000 eV per atom. The final energy comes out at -4.87 eV/atom. The calculation puts the calculated density at 4.17 g/cm³.